Entry from Alexandria: a geometry-optimized MnCd2Mo structure (PBEsol).

Unit cell a=6.4839 b=6.4839 c=6.4839 alpha=90.00 beta=90.00 gamma=90.00
Last column: nearest neighbours and their distance in Å.
Space group Fm-3m (No. 225)
Asymmetric unit:
Mn  0.0000  0.0000  0.0000 (multiplicity 4)  8 Cd 2.81
Cd  0.2500  0.2500  0.2500 (multiplicity 8)  4 Mn 2.81, 4 Mo 2.81
Mo  0.0000  0.0000  0.5000 (multiplicity 4)  8 Cd 2.81

Summary:
- ΔE to the lowest computed polymorph (meV per atom) = 187
- formation energy from the elements (eV per atom) = 0.6457
- crystal system = cubic

***

Entry from Alexandria: a geometry-optimized MnCd2Mo structure (PBEsol).

Unit cell a=3.9025 b=3.9025 c=8.7173 alpha=90.00 beta=90.00 gamma=90.00
Last column: nearest neighbours and their distance in Å.
Space group I4/mmm (No. 139)
Asymmetric unit:
Mn  0.0000  0.0000  0.0000 (multiplicity 2)  4 Mo 2.76, 8 Cd 2.93
Cd  0.0000  0.5000  0.2500 (multiplicity 4)  4 Cd 2.76, 4 Mn 2.93, 4 Mo 2.93
Mo  0.0000  0.0000  0.5000 (multiplicity 2)  4 Mn 2.76, 8 Cd 2.93

Summary:
- ΔE to the lowest computed polymorph (meV per atom) = 88
- formation energy from the elements (eV per atom) = 0.5475
- crystal system = tetragonal

***

Entry from Alexandria: a geometry-optimized MnCd2Mo structure (PBEsol).

Unit cell a=2.7610 b=4.2909 c=5.6133 alpha=90.00 beta=90.00 gamma=90.00
Last column: nearest neighbours and their distance in Å.
Space group Pmmm (No. 47)
Asymmetric unit:
Mn  0.0000  0.0000  0.0000 (multiplicity 1)  2 Mn 2.76, 2 Mo 2.81, 8 Cd 2.90
Cd  0.5000  0.5000  0.2462 (multiplicity 2)  4 Cd 2.76-2.85, 4 Mn 2.90, 4 Mo 2.92
Mo  0.0000  0.0000  0.5000 (multiplicity 1)  2 Mo 2.76, 2 Mn 2.81, 8 Cd 2.92

Summary:
- ΔE to the lowest computed polymorph (meV per atom) = 37
- formation energy from the elements (eV per atom) = 0.4959
- crystal system = orthorhombic